VASP calculation (PBE-GGA) on Li2SiIr after structural relaxation.

The space group is Pnma (No. 62) and the conventional cell measures 4.861, 8.633 and 4.954 Å, with angles of 90.00, 90.00 and 90.00 degrees. The inequivalent atoms are Li at (0.250, 0.006, 0.247), Si at (0.002, 0.250, 0.438) and Ir at (0.001, 0.250, 0.943).

The value obtained for the raw total energy is -4.958 eV per atom. Its density of states at the Fermi level is 0.48 states/eV per atom.